(1)
Here is crystalline Os2WAu at its relaxed geometry from Alexandria. Energies are from GGA-PBEsol.

Unit cell a=2.7799 b=3.8588 c=5.6118 alpha=90.00 beta=90.00 gamma=90.00
Element x y z (fractional)
1 W 0.5000 0.5000 0.0000
2 Au 0.5000 0.5000 0.5000
3 Os 0.0000 0.0000 0.2380
4 Os 0.0000 0.0000 0.7620

ΔE to the lowest computed polymorph in eV/f.u.: 0.241
Calculated volume in Å³/cell: 60
Density in g/cm3: 21.00
Symmetry: No. 47
ΔH_f (0 K) in meV/atom: 337
Magnetic moment in μB/cell: 0.00

---

(2)
Here is crystalline OsWAu2 at its relaxed geometry from Alexandria. Energies are from GGA-PBEsol.

Unit cell a=2.7847 b=2.7847 c=9.4622 alpha=81.54 beta=81.54 gamma=60.00
Element x y z (fractional)
1 Os 0.5000 0.5000 0.5000
2 W 0.0000 0.0000 0.0000
3 Au 0.7504 0.7504 0.7487
4 Au 0.2496 0.2496 0.2513

ΔE to the lowest computed polymorph in eV/f.u.: 1.105
Calculated volume in Å³/cell: 63
Density in g/cm3: 20.37
Symmetry: No. 166
ΔH_f (0 K) in meV/atom: 505
Magnetic moment in μB/cell: 0.00

---

(3)
Here is crystalline Os2WAu at its relaxed geometry from Alexandria. Energies are from GGA-PBEsol.

Unit cell a=2.7508 b=2.7508 c=7.9864 alpha=90.00 beta=90.00 gamma=90.00
Element x y z (fractional)
1 Os 0.0000 0.0000 0.0199
2 Au 0.5000 0.5000 0.7509
3 W 0.0000 0.0000 0.4948
4 Os 0.5000 0.5000 0.2345

ΔE to the lowest computed polymorph in eV/f.u.: 0.000
Calculated volume in Å³/cell: 60
Density in g/cm3: 20.92
Symmetry: No. 99
ΔH_f (0 K) in meV/atom: 277
Magnetic moment in μB/cell: 0.00

---

What is the magnetic moment in the first record?
0.00 μB/cell